No. 1
HoUMnC3 after structural relaxation, computed with PBE-GGA. Values from VASP.

The structure in Quantum ESPRESSO input format:
```
&SYSTEM
  ibrav = 0, nat = 12, ntyp = 4
/
ATOMIC_SPECIES
Ho 164.93 Ho.upf
U 238.03 U.upf
Mn 54.94 Mn.upf
C 12.01 C.upf
ATOMIC_POSITIONS crystal
Ho 0.146 0.250 0.176
Ho 0.854 0.750 0.824
U 0.366 0.750 0.819
U 0.634 0.250 0.181
Mn 0.094 0.250 0.584
Mn 0.906 0.750 0.416
C 0.137 0.250 0.843
C 0.161 0.750 0.516
C 0.413 0.750 0.129
C 0.587 0.250 0.871
C 0.839 0.250 0.484
C 0.863 0.750 0.157
CELL_PARAMETERS angstrom
7.023 0.000 0.000
0.000 3.486 0.000
-0.445 0.000 7.262
```

Calculated values
SG: P2_1/m
Formation energy: -0.08 eV per atom


No. 2
Ho2UMn2C4 after structural relaxation, computed with PBE-GGA. Values from VASP.

The structure in Quantum ESPRESSO input format:
```
&SYSTEM
  ibrav = 0, nat = 9, ntyp = 4
/
ATOMIC_SPECIES
Ho 164.93 Ho.upf
U 238.03 U.upf
Mn 54.94 Mn.upf
C 12.01 C.upf
ATOMIC_POSITIONS crystal
Ho 0.137 0.137 0.049
Ho 0.863 0.863 0.951
U 0.000 0.000 0.500
Mn 0.318 0.318 0.505
Mn 0.682 0.682 0.495
C 0.221 0.221 0.707
C 0.469 0.469 0.750
C 0.531 0.531 0.250
C 0.779 0.779 0.293
CELL_PARAMETERS angstrom
6.279 -1.664 0.000
6.279 1.664 0.000
-1.969 0.000 5.663
```

Calculated values
SG: C2/m
Formation energy: -0.12 eV per atom


No. 3
HoU2MnC4 after structural relaxation, computed with PBE-GGA. Values from VASP.

The structure in Quantum ESPRESSO input format:
```
&SYSTEM
  ibrav = 0, nat = 16, ntyp = 4
/
ATOMIC_SPECIES
Ho 164.93 Ho.upf
U 238.03 U.upf
Mn 54.94 Mn.upf
C 12.01 C.upf
ATOMIC_POSITIONS crystal
Ho 0.110 0.890 0.750
Ho 0.890 0.110 0.250
U 0.369 0.631 0.549
U 0.369 0.631 0.951
U 0.631 0.369 0.049
U 0.631 0.369 0.451
Mn 0.155 0.845 0.250
Mn 0.845 0.155 0.750
C 0.000 0.000 0.000
C 0.000 0.000 0.500
C 0.261 0.739 0.126
C 0.261 0.739 0.374
C 0.427 0.573 0.750
C 0.573 0.427 0.250
C 0.739 0.261 0.626
C 0.739 0.261 0.874
CELL_PARAMETERS angstrom
1.753 -5.549 0.000
1.753 5.549 0.000
0.000 0.000 11.594
```

Calculated values
SG: Cmcm
Formation energy: -0.09 eV per atom


No. 4
Ho2UMnC4 after structural relaxation, computed with PBE-GGA. Values from VASP.

The structure in Quantum ESPRESSO input format:
```
&SYSTEM
  ibrav = 0, nat = 16, ntyp = 4
/
ATOMIC_SPECIES
Ho 164.93 Ho.upf
U 238.03 U.upf
Mn 54.94 Mn.upf
C 12.01 C.upf
ATOMIC_POSITIONS crystal
Ho 0.133 0.867 0.546
Ho 0.133 0.867 0.954
Ho 0.867 0.133 0.046
Ho 0.867 0.133 0.454
U 0.404 0.596 0.750
U 0.596 0.404 0.250
Mn 0.333 0.667 0.250
Mn 0.667 0.333 0.750
C 0.074 0.926 0.750
C 0.224 0.776 0.141
C 0.224 0.776 0.359
C 0.500 0.500 0.000
C 0.500 0.500 0.500
C 0.776 0.224 0.641
C 0.776 0.224 0.859
C 0.926 0.074 0.250
CELL_PARAMETERS angstrom
1.706 -5.716 0.000
1.706 5.716 0.000
0.000 0.000 11.809
```

Calculated values
SG: Cmcm
Formation energy: 0.01 eV per atom


No. 5
HoMnWC3 after structural relaxation, computed with PBE-GGA. Values from VASP.

The structure in Quantum ESPRESSO input format:
```
&SYSTEM
  ibrav = 0, nat = 12, ntyp = 4
/
ATOMIC_SPECIES
Ho 164.93 Ho.upf
Mn 54.94 Mn.upf
W 183.84 W.upf
C 12.01 C.upf
ATOMIC_POSITIONS crystal
Ho 0.179 0.250 0.196
Ho 0.821 0.750 0.804
Mn 0.108 0.250 0.604
Mn 0.892 0.750 0.396
W 0.351 0.750 0.865
W 0.649 0.250 0.135
C 0.122 0.250 0.859
C 0.180 0.750 0.525
C 0.439 0.750 0.159
C 0.561 0.250 0.841
C 0.820 0.250 0.475
C 0.878 0.750 0.141
CELL_PARAMETERS angstrom
6.658 0.000 0.000
0.000 3.257 0.000
-1.656 0.000 7.129
```

Calculated values
SG: P2_1/m
Formation energy: 0.04 eV per atom


No. 6
HoMnZnC after structural relaxation, computed with PBE-GGA. Values from VASP.

The structure in Quantum ESPRESSO input format:
```
&SYSTEM
  ibrav = 0, nat = 8, ntyp = 4
/
ATOMIC_SPECIES
Ho 164.93 Ho.upf
Mn 54.94 Mn.upf
Zn 65.41 Zn.upf
C 12.01 C.upf
ATOMIC_POSITIONS crystal
Ho 0.250 0.250 0.232
Ho 0.750 0.750 0.768
Mn 0.250 0.750 0.000
Mn 0.750 0.250 0.000
Zn 0.250 0.750 0.500
Zn 0.750 0.250 0.500
C 0.250 0.250 0.887
C 0.750 0.750 0.113
CELL_PARAMETERS angstrom
3.399 0.000 0.000
0.000 3.399 0.000
0.000 0.000 10.364
```

Calculated values
SG: P4/nmm
Formation energy: -0.14 eV per atom


No. 7
Ho2Mo2C3 after structural relaxation, computed with PBE-GGA. Values from VASP.

The structure in Quantum ESPRESSO input format:
```
&SYSTEM
  ibrav = 0, nat = 7, ntyp = 3
/
ATOMIC_SPECIES
Ho 164.93 Ho.upf
Mo 95.94 Mo.upf
C 12.01 C.upf
ATOMIC_POSITIONS crystal
Ho 0.110 0.110 0.325
Ho 0.890 0.890 0.675
Mo 0.343 0.343 0.174
Mo 0.657 0.657 0.826
C 0.252 0.252 0.766
C 0.500 0.500 0.500
C 0.748 0.748 0.234
CELL_PARAMETERS angstrom
5.857 -1.670 0.000
5.857 1.670 0.000
-2.157 0.000 5.283
```

Calculated values
Polymorph energy (0 for the lowest one): 0.000 eV per atom
SG: C2/m
Formation energy: -0.37 eV per atom


No. 8
Ho2Mo2C3 after structural relaxation, computed with PBE-GGA. Values from VASP.

The structure in Quantum ESPRESSO input format:
```
&SYSTEM
  ibrav = 0, nat = 7, ntyp = 3
/
ATOMIC_SPECIES
Ho 164.93 Ho.upf
Mo 95.94 Mo.upf
C 12.01 C.upf
ATOMIC_POSITIONS crystal
Ho 0.114 0.114 0.321
Ho 0.886 0.886 0.679
Mo 0.350 0.350 0.127
Mo 0.650 0.650 0.873
C 0.229 0.229 0.757
C 0.500 0.500 0.000
C 0.771 0.771 0.243
CELL_PARAMETERS angstrom
5.652 -1.693 0.000
5.652 1.693 0.000
-1.752 0.000 5.413
```

Calculated values
Polymorph energy (0 for the lowest one): 0.031 eV per atom
SG: C2/m
Formation energy: -0.34 eV per atom


No. 9
HoMoC after structural relaxation, computed with PBE-GGA. Values from VASP.

The structure in Quantum ESPRESSO input format:
```
&SYSTEM
  ibrav = 0, nat = 6, ntyp = 3
/
ATOMIC_SPECIES
Ho 164.93 Ho.upf
Mo 95.94 Mo.upf
C 12.01 C.upf
ATOMIC_POSITIONS crystal
Ho 0.250 0.250 0.172
Ho 0.750 0.750 0.828
Mo 0.250 0.250 0.568
Mo 0.750 0.750 0.432
C 0.250 0.750 0.611
C 0.750 0.250 0.389
CELL_PARAMETERS angstrom
3.245 0.000 0.000
0.000 4.167 0.000
0.000 0.000 8.001
```

Calculated values
SG: Pmmn
Formation energy: -0.23 eV per atom


No. 10
HoMo2C2 after structural relaxation, computed with PBE-GGA. Values from VASP.

The structure in Quantum ESPRESSO input format:
```
&SYSTEM
  ibrav = 0, nat = 10, ntyp = 3
/
ATOMIC_SPECIES
Ho 164.93 Ho.upf
Mo 95.94 Mo.upf
C 12.01 C.upf
ATOMIC_POSITIONS crystal
Ho 0.125 0.125 0.125
Ho 0.875 0.875 0.875
Mo 0.234 0.234 0.516
Mo 0.484 0.484 0.766
Mo 0.516 0.516 0.234
Mo 0.766 0.766 0.484
C 0.165 0.585 0.165
C 0.415 0.835 0.415
C 0.585 0.165 0.585
C 0.835 0.415 0.835
CELL_PARAMETERS angstrom
0.000 4.405 4.581
3.551 0.000 4.581
3.551 4.405 0.000
```

Calculated values
SG: Fddd
Formation energy: -0.09 eV per atom


What did the eighth record say?
Ho2Mo2C3 after structural relaxation, computed with PBE-GGA. Values from VASP.

The structure in Quantum ESPRESSO input format:
```
&SYSTEM
  ibrav = 0, nat = 7, ntyp = 3
/
ATOMIC_SPECIES
Ho 164.93 Ho.upf
Mo 95.94 Mo.upf
C 12.01 C.upf
ATOMIC_POSITIONS crystal
Ho 0.114 0.114 0.321
Ho 0.886 0.886 0.679
Mo 0.350 0.350 0.127
Mo 0.650 0.650 0.873
C 0.229 0.229 0.757
C 0.500 0.500 0.000
C 0.771 0.771 0.243
CELL_PARAMETERS angstrom
5.652 -1.693 0.000
5.652 1.693 0.000
-1.752 0.000 5.413
```

Calculated values
Polymorph energy (0 for the lowest one): 0.031 eV per atom
SG: C2/m
Formation energy: -0.34 eV per atom


What is the formula in the eighth record? Ho2Mo2C3